Entry 1:
Below is crystalline La15Ho4Er at its relaxed geometry, with properties calculated at the PBE-GGA level.

Lattice parameters (Å, degrees): 5.2006 5.2006 25.9994 90.00 90.00 90.00
Closest atoms and distances in Å follow each position.
Positions (direct):
La (0.0000, 0.0000, 0.0000)  8 La 3.68, 4 Er 3.68
La (0.0000, 0.0000, 0.2001)  8 La 3.68, 4 Ho 3.68
La (0.0000, 0.0000, 0.4000)  8 La 3.68, 4 Ho 3.68
La (0.0000, 0.0000, 0.6000)  8 La 3.68, 4 Ho 3.68
La (0.0000, 0.0000, 0.7999)  8 La 3.68, 4 Ho 3.68
La (0.0000, 0.5000, 0.1000)  8 La 3.68, 2 Er 3.68, 2 Ho 3.68
La (0.0000, 0.5000, 0.3001)  8 La 3.68, 4 Ho 3.68
La (0.0000, 0.5000, 0.5000)  4 Ho 3.68, 8 La 3.68
La (0.0000, 0.5000, 0.6999)  8 La 3.68, 4 Ho 3.68
La (0.0000, 0.5000, 0.9000)  8 La 3.68, 2 Er 3.68, 2 Ho 3.68
La (0.5000, 0.0000, 0.1000)  8 La 3.68, 2 Er 3.68, 2 Ho 3.68
La (0.5000, 0.0000, 0.3001)  8 La 3.68, 4 Ho 3.68
La (0.5000, 0.0000, 0.5000)  4 Ho 3.68, 8 La 3.68
La (0.5000, 0.0000, 0.6999)  8 La 3.68, 4 Ho 3.68
La (0.5000, 0.0000, 0.9000)  8 La 3.68, 2 Er 3.68, 2 Ho 3.68
Ho (0.5000, 0.5000, 0.2001)  12 La 3.68
Ho (0.5000, 0.5000, 0.4001)  12 La 3.68
Ho (0.5000, 0.5000, 0.5999)  12 La 3.68
Ho (0.5000, 0.5000, 0.7999)  12 La 3.68
Er (0.5000, 0.5000, 0.0000)  12 La 3.68

Summary:
Density of states at the Fermi level   24.59 states/eV/f.u.
Formation enthalpy at 0 K   0.01 eV per atom



Entry 2:
Below is crystalline LaHo12Er7 at its relaxed geometry, with properties calculated at the PBE-GGA level.

Lattice parameters (Å, degrees): 9.7629 9.7629 9.7629 109.47 109.47 109.47
Closest atoms and distances in Å follow each position.
Positions (direct):
La (0.0000, 0.0000, 0.0000)  12 Ho 4.17
Ho (0.0000, 0.2613, 0.7387)  2 Er 2.82
Ho (0.0000, 0.7387, 0.2613)  2 Er 2.82
Ho (0.2613, 0.0000, 0.7387)  2 Er 2.82
Ho (0.2613, 0.2613, 0.5226)  2 Er 2.82
Ho (0.2613, 0.5226, 0.2613)  2 Er 2.82
Ho (0.2613, 0.7387, 0.0000)  2 Er 2.82
Ho (0.4774, 0.7387, 0.7387)  2 Er 2.82
Ho (0.5226, 0.2613, 0.2613)  2 Er 2.82
Ho (0.7387, 0.0000, 0.2613)  2 Er 2.82
Ho (0.7387, 0.2613, 0.0000)  2 Er 2.82
Ho (0.7387, 0.4774, 0.7387)  2 Er 2.82
Ho (0.7387, 0.7387, 0.4774)  2 Er 2.82
Er (0.0000, 0.0000, 0.5000)  6 Ho 2.82
Er (0.0000, 0.5000, 0.0000)  6 Ho 2.82
Er (0.0000, 0.5000, 0.5000)  12 Ho 3.81-3.99
Er (0.5000, 0.0000, 0.0000)  6 Ho 2.82
Er (0.5000, 0.0000, 0.5000)  12 Ho 3.81-3.99
Er (0.5000, 0.5000, 0.0000)  12 Ho 3.81-3.99
Er (0.5000, 0.5000, 0.5000)  6 Ho 2.82

Summary:
Density of states at the Fermi level   25.63 states/eV/f.u.
Formation enthalpy at 0 K   0.71 eV per atom
Energy relative to the lowest polymorph listed for this composition   473 meV/atom



Entry 3:
Below is crystalline LaHoEr2 at its relaxed geometry, with properties calculated at the PBE-GGA level.

Lattice parameters (Å, degrees): 11.6922 11.6922 11.6922 17.69 17.69 17.69
Closest atoms and distances in Å follow each position.
Positions (direct):
La (0.0000, 0.0000, 0.0000)  6 Er 3.59-3.62, 6 La 3.60
Ho (0.8343, 0.8343, 0.8343)  6 Er 3.48-3.50, 6 Ho 3.60
Er (0.4193, 0.4193, 0.4193)  3 Ho 3.50, 6 Er 3.60, 3 La 3.62
Er (0.5817, 0.5817, 0.5817)  3 Ho 3.48, 3 La 3.59, 6 Er 3.60

Summary:
Density of states at the Fermi level   6.48 states/eV/f.u.
Formation enthalpy at 0 K   0.01 eV per atom
Energy relative to the lowest polymorph listed for this composition   0 meV/atom